Entry A
## Ga3BiF (GGA-PBE)

Data for a geometry-optimized Ga3BiF structure.

Cell lengths 5.7834, 5.7834, 5.7834 Å; angles 90.00, 90.00, 90.00 degrees
Closest atoms and distances in Å follow each position.
Atoms (fractional coordinates):
Bi: 0.0000 0.0000 0.0000  6 Ga 2.89
Ga: 0.0000 0.5000 0.0000  2 Bi 2.89
F: 0.5000 0.5000 0.5000  12 Ga 4.09
Ga: 0.5000 0.0000 0.0000  2 Bi 2.89
Ga: 0.0000 0.0000 0.5000  2 Bi 2.89

Entry B
## Ga3BiF (GGA-PBE)

Data for a geometry-optimized Ga3BiF structure.

Cell lengths 4.8049, 4.8049, 4.8049 Å; angles 90.00, 90.00, 90.00 degrees
Closest atoms and distances in Å follow each position.
Atoms (fractional coordinates):
Ga: 0.0000 0.5000 0.0000  2 F 2.40
Ga: 0.0000 0.0000 0.5000  2 F 2.40
Bi: 0.5000 0.5000 0.5000  12 Ga 3.40
Ga: 0.5000 0.0000 0.0000  2 F 2.40
F: 0.0000 0.0000 0.0000  6 Ga 2.40

Quick ranking, most stable first: entry B, entry A.

Entry A
## GaBiOF2 (GGA-PBE)

Data for a geometry-optimized GaBiOF2 structure.

Cell lengths 4.6518, 4.6518, 4.5126 Å; angles 90.00, 90.00, 90.00 degrees
Closest atoms and distances in Å follow each position.
Atoms (fractional coordinates):
O: 0.0000 0.0000 0.5000  2 Bi 2.26
Ga: 0.5000 0.5000 0.5000  8 F 3.24, 4 O 3.29
F: 0.5000 0.0000 0.0000  2 Bi 2.33
F: 0.0000 0.5000 0.0000  2 Bi 2.33
Bi: 0.0000 0.0000 0.0000  2 O 2.26, 4 F 2.33

Entry B
## GaBiOF2 (GGA-PBE)

Data for a geometry-optimized GaBiOF2 structure.

Cell lengths 4.4679, 3.6570, 4.4679 Å; angles 90.00, 90.00, 90.00 degrees
Closest atoms and distances in Å follow each position.
Atoms (fractional coordinates):
F: 0.5000 0.0000 0.0000  2 Ga 2.23
Bi: 0.5000 0.5000 0.5000  8 F 2.89, 4 O 3.16
F: 0.0000 0.0000 0.5000  2 Ga 2.23
Ga: 0.0000 0.0000 0.0000  2 O 1.83
O: 0.0000 0.5000 0.0000  2 Ga 1.83

Quick ranking, most stable first: entry A, entry B.

Entry A
## GeBiOF2 (GGA-PBE)

Data for a geometry-optimized GeBiOF2 structure.

Cell lengths 4.5786, 4.5786, 4.5875 Å; angles 90.00, 90.00, 90.00 degrees
Closest atoms and distances in Å follow each position.
Atoms (fractional coordinates):
F: 0.0000 0.5000 0.0000  2 Bi 2.29
Ge: 0.5000 0.5000 0.5000  4 O 3.24, 8 F 3.24
Bi: 0.0000 0.0000 0.0000  4 F 2.29, 2 O 2.29
F: 0.5000 0.0000 0.0000  2 Bi 2.29
O: 0.0000 0.0000 0.5000  2 Bi 2.29

Entry B
## GeBiOF2 (GGA-PBE)

Data for a geometry-optimized GeBiOF2 structure.

Cell lengths 4.4863, 4.4863, 3.9264 Å; angles 90.00, 90.00, 90.00 degrees
Closest atoms and distances in Å follow each position.
Atoms (fractional coordinates):
O: 0.0000 0.0000 0.5000  2 Ge 1.96
F: 0.5000 0.0000 0.0000  2 Ge 2.24
Ge: 0.0000 0.0000 0.0000  2 O 1.96
F: 0.0000 0.5000 0.0000  2 Ge 2.24
Bi: 0.5000 0.5000 0.5000  8 F 2.98, 4 O 3.17

Quick ranking, most stable first: entry B, entry A.

Entry A
## ZrGeBi2F (GGA-PBE)

Data for a geometry-optimized ZrGeBi2F structure.

Cell lengths 5.4448, 5.1417, 5.4448 Å; angles 90.00, 90.00, 90.00 degrees
Closest atoms and distances in Å follow each position.
Atoms (fractional coordinates):
Bi: 0.0000 0.0000 0.5000  2 Ge 2.72
F: 0.5000 0.5000 0.5000  8 Bi 3.74, 4 Zr 3.85
Ge: 0.0000 0.0000 0.0000  2 Zr 2.57, 4 Bi 2.72
Bi: 0.5000 0.0000 0.0000  2 Ge 2.72
Zr: 0.0000 0.5000 0.0000  2 Ge 2.57

Entry B
## ZrGeBi2F (GGA-PBE)

Data for a geometry-optimized ZrGeBi2F structure.

Cell lengths 5.5877, 5.1999, 5.5877 Å; angles 90.00, 90.00, 90.00 degrees
Closest atoms and distances in Å follow each position.
Atoms (fractional coordinates):
Ge: 0.0000 0.5000 0.0000  2 Zr 2.60
F: 0.5000 0.5000 0.5000  8 Bi 3.82, 4 Ge 3.95
Bi: 0.5000 0.0000 0.0000  2 Zr 2.79
Bi: 0.0000 0.0000 0.5000  2 Zr 2.79
Zr: 0.0000 0.0000 0.0000  2 Ge 2.60, 4 Bi 2.79

Quick ranking, most stable first: entry B, entry A.

Entry A
## BiHF (GGA-PBE)

Data for a geometry-optimized BiHF structure.

Cell lengths 3.6319, 3.6319, 4.8957 Å; angles 111.77, 111.77, 90.00 degrees
Closest atoms and distances in Å follow each position.
Atoms (fractional coordinates):
H: 0.9132 0.9132 0.8264  1 Bi 1.83
F: 0.2433 0.2433 0.4866  4 Bi 2.60, 1 H 2.75
Bi: 0.6935 0.6935 0.3870  1 H 1.83

Entry B
## BiHF (GGA-PBE)

Data for a geometry-optimized BiHF structure.

Cell lengths 4.5882, 3.3650, 23.1856 Å; angles 110.56, 155.09, 86.68 degrees
Closest atoms and distances in Å follow each position.
Atoms (fractional coordinates):
H: 0.7564 0.4808 0.4997  2 Bi 2.07, 1 H 2.23
Bi: 0.3879 0.9988 0.2529  2 H 2.07
Bi: 0.6121 0.0012 0.7471  2 H 2.07
F: 0.6679 0.2504 0.8707  3 Bi 2.45-2.63
F: 0.3321 0.7496 0.1293  3 Bi 2.45-2.63
H: 0.2436 0.5192 0.5003  2 Bi 2.07, 1 H 2.23

Quick ranking, most stable first: entry B, entry A.

Entry A
## BiHN2F (GGA-PBE)

Data for a geometry-optimized BiHN2F structure.

Cell lengths 3.4160, 3.4160, 4.2461 Å; angles 90.00, 90.00, 90.00 degrees
Closest atoms and distances in Å follow each position.
Atoms (fractional coordinates):
H: 0.0000 0.0000 0.0000  4 N 1.71
F: 0.0000 0.0000 0.5000  2 H 2.12
Bi: 0.5000 0.5000 0.5000  4 F 2.42
N: 0.0000 0.5000 0.0000  2 H 1.71
N: 0.5000 0.0000 0.0000  2 H 1.71

Entry B
## BiHN2F (GGA-PBE)

Data for a geometry-optimized BiHN2F structure.

Cell lengths 4.5842, 4.5842, 4.5617 Å; angles 90.00, 90.00, 90.00 degrees
Closest atoms and distances in Å follow each position.
Atoms (fractional coordinates):
Bi: 0.0000 0.0000 0.0000  2 F 2.28, 4 N 2.29
F: 0.0000 0.0000 0.5000  2 Bi 2.28
N: 0.5000 0.0000 0.0000  2 Bi 2.29
N: 0.0000 0.5000 0.0000  2 Bi 2.29
H: 0.5000 0.5000 0.5000  8 N 3.23, 4 F 3.24

Quick ranking, most stable first: entry A, entry B.

Entry A
## HfBi3F (GGA-PBE)

Data for a geometry-optimized HfBi3F structure.

Cell lengths 5.0184, 5.0184, 5.0184 Å; angles 90.00, 90.00, 90.00 degrees
Closest atoms and distances in Å follow each position.
Atoms (fractional coordinates):
F: 0.0000 0.0000 0.0000  6 Bi 2.51
Bi: 0.0000 0.5000 0.0000  2 F 2.51
Bi: 0.5000 0.0000 0.0000  2 F 2.51
Hf: 0.5000 0.5000 0.5000  12 Bi 3.55
Bi: 0.0000 0.0000 0.5000  2 F 2.51

Entry B
## HfBi3F (GGA-PBE)

Data for a geometry-optimized HfBi3F structure.

Cell lengths 5.5653, 5.5653, 5.5653 Å; angles 90.00, 90.00, 90.00 degrees
Closest atoms and distances in Å follow each position.
Atoms (fractional coordinates):
Bi: 0.0000 0.5000 0.0000  2 Hf 2.78
Bi: 0.5000 0.0000 0.0000  2 Hf 2.78
Bi: 0.0000 0.0000 0.5000  2 Hf 2.78
Hf: 0.0000 0.0000 0.0000  6 Bi 2.78
F: 0.5000 0.5000 0.5000  12 Bi 3.94

Quick ranking, most stable first: entry A, entry B.

Entry A
## HgBiF2 (GGA-PBE)

Data for a geometry-optimized HgBiF2 structure.

Cell lengths 4.1485, 6.2082, 7.3399 Å; angles 90.00, 90.00, 106.30 degrees
Closest atoms and distances in Å follow each position.
Atoms (fractional coordinates):
Hg: 0.8996 0.0349 0.7500  2 Bi 3.11-3.15, 2 F 3.45
F: 0.7134 0.4139 0.4259  2 Bi 2.32-2.47, 3 F 2.55-2.58
Bi: 0.8028 0.5197 0.7500  4 F 2.32-2.47
F: 0.2866 0.5861 0.9259  2 Bi 2.32-2.47, 3 F 2.55-2.58
F: 0.7134 0.4139 0.0741  2 Bi 2.32-2.47, 3 F 2.55-2.58
F: 0.2866 0.5861 0.5741  2 Bi 2.32-2.47, 3 F 2.55-2.58
Bi: 0.1972 0.4803 0.2500  4 F 2.32-2.47
Hg: 0.1004 0.9651 0.2500  2 Bi 3.11-3.15, 2 F 3.45

Entry B
## HgBiF2 (GGA-PBE)

Data for a geometry-optimized HgBiF2 structure.

Cell lengths 4.1768, 4.1768, 6.1537 Å; angles 70.16, 70.16, 60.00 degrees
Closest atoms and distances in Å follow each position.
Atoms (fractional coordinates):
F: 0.1915 0.1915 0.4254  3 Bi 2.45, 3 F 2.56
Bi: 0.5000 0.5000 0.5000  6 F 2.45
Hg: 0.0000 0.0000 0.0000  8 F 3.25-3.41
F: 0.8085 0.8085 0.5746  3 Bi 2.45, 3 F 2.56

Quick ranking, most stable first: entry A, entry B.

Entry A
## HgBiF2 (GGA-PBE)

Data for a geometry-optimized HgBiF2 structure.

Cell lengths 8.8362, 8.8362, 8.8362 Å; angles 22.00, 22.00, 22.00 degrees
Closest atoms and distances in Å follow each position.
Atoms (fractional coordinates):
Hg: 0.5000 0.5000 0.5000  6 F 2.86
F: 0.0859 0.0859 0.0859  1 Bi 2.22
Bi: 0.0000 0.0000 0.0000  2 F 2.22
F: 0.9141 0.9141 0.9141  1 Bi 2.22

Entry B
## HgBiF2 (GGA-PBE)

Data for a geometry-optimized HgBiF2 structure.

Cell lengths 9.3657, 9.3657, 9.3657 Å; angles 20.08, 20.08, 20.08 degrees
Closest atoms and distances in Å follow each position.
Atoms (fractional coordinates):
Hg: 0.0000 0.0000 0.0000  2 F 2.85
F: 0.8966 0.8966 0.8966  3 Bi 2.57, 1 Hg 2.85
Bi: 0.5000 0.5000 0.5000  6 F 2.57
F: 0.1034 0.1034 0.1034  3 Bi 2.57, 1 Hg 2.85

Quick ranking, most stable first: entry B, entry A.

Entry A
## HgBiF2 (GGA-PBE)

Data for a geometry-optimized HgBiF2 structure.

Cell lengths 4.6413, 4.6413, 4.6413 Å; angles 60.00, 60.00, 60.00 degrees
Closest atoms and distances in Å follow each position.
Atoms (fractional coordinates):
Bi: 0.5000 0.5000 0.5000  8 F 2.84
Hg: 0.0000 0.0000 0.0000  8 F 2.84
F: 0.2500 0.2500 0.2500  4 Hg 2.84, 4 Bi 2.84
F: 0.7500 0.7500 0.7500  4 Hg 2.84, 4 Bi 2.84

Entry B
## HgBiF2 (GGA-PBE)

Data for a geometry-optimized HgBiF2 structure.

Cell lengths 7.8717, 7.8717, 6.3500 Å; angles 51.70, 51.70, 90.00 degrees
Closest atoms and distances in Å follow each position.
Atoms (fractional coordinates):
F: 0.0090 0.6250 0.2500  2 Bi 2.36
Bi: 0.7500 0.2500 0.5000  4 F 2.36
Bi: 0.0000 0.0000 0.0000  4 F 2.36
F: 0.3750 0.2590 0.7500  2 Bi 2.36
F: 0.8750 0.9910 0.7500  2 Bi 2.36
Hg: 0.2500 0.7500 0.5000  2 Bi 3.06, 4 F 3.20
Hg: 0.5000 0.5000 0.0000  2 Bi 3.06, 4 F 3.20
F: 0.7410 0.1250 0.2500  2 Bi 2.36

Quick ranking, most stable first: entry B, entry A.

Entry A
## Hg2BiF8 (GGA-PBE)

Data for a geometry-optimized Hg2BiF8 structure.

Cell lengths 5.6174, 6.2128, 6.2128 Å; angles 120.00, 90.00, 90.00 degrees
Closest atoms and distances in Å follow each position.
Atoms (fractional coordinates):
F: 0.3296 0.6667 0.3333  1 Hg 2.03
F: 0.7396 0.3181 0.1591  1 Bi 2.18, 1 Hg 2.27
F: 0.7396 0.8409 0.6819  1 Bi 2.18, 1 Hg 2.27
F: 0.2604 0.1591 0.8409  1 Bi 2.18, 1 Hg 2.27
F: 0.2604 0.1591 0.3181  1 Bi 2.18, 1 Hg 2.27
Bi: 0.5000 0.0000 0.0000  6 F 2.18
Hg: 0.9677 0.6667 0.3333  4 F 2.03-2.27
Hg: 0.0323 0.3333 0.6667  4 F 2.03-2.27
F: 0.7396 0.8409 0.1591  1 Bi 2.18, 1 Hg 2.27
F: 0.2604 0.6819 0.8409  1 Bi 2.18, 1 Hg 2.27
F: 0.6704 0.3333 0.6667  1 Hg 2.03

Entry B
## Hg2BiF8 (GGA-PBE)

Data for a geometry-optimized Hg2BiF8 structure.

Cell lengths 4.4305, 7.1944, 7.1937 Å; angles 120.01, 90.00, 90.00 degrees
Closest atoms and distances in Å follow each position.
Atoms (fractional coordinates):
F: 0.2565 0.1480 0.2973  1 Bi 2.17, 1 Hg 2.30
F: 0.2328 0.6667 0.3332  2 Hg 2.20-2.23
Bi: 0.0000 0.0000 0.0000  6 F 2.17
F: 0.7435 0.8520 0.7027  1 Bi 2.17, 1 Hg 2.30
F: 0.7435 0.8508 0.1480  1 Bi 2.17, 1 Hg 2.30
Hg: 0.2701 0.3333 0.6667  5 F 2.20-2.30
F: 0.7436 0.2973 0.1493  1 Bi 2.17, 1 Hg 2.30
F: 0.2564 0.7027 0.8507  1 Bi 2.17, 1 Hg 2.30
F: 0.7672 0.3333 0.6668  2 Hg 2.20-2.23
Hg: 0.7299 0.6667 0.3332  5 F 2.20-2.30
F: 0.2564 0.1493 0.8520  1 Bi 2.17, 1 Hg 2.30

Quick ranking, most stable first: entry B, entry A.

Entry A
## Hg2BiF (GGA-PBE)

Data for a geometry-optimized Hg2BiF structure.

Cell lengths 5.7640, 5.7640, 8.3480 Å; angles 69.80, 69.80, 90.00 degrees
Closest atoms and distances in Å follow each position.
Atoms (fractional coordinates):
Hg: 0.1712 0.6250 0.2500  2 F 2.60, 2 Bi 2.88
Hg: 0.8750 0.8288 0.7500  2 F 2.60, 2 Bi 2.88
F: 0.5000 0.5000 0.0000  4 Hg 2.60
Bi: 0.0000 0.0000 0.0000  4 Hg 2.88
F: 0.2500 0.7500 0.5000  4 Hg 2.60
Hg: 0.3750 0.4212 0.7500  2 F 2.60, 2 Bi 2.88
Bi: 0.7500 0.2500 0.5000  4 Hg 2.88
Hg: 0.5788 0.1250 0.2500  2 F 2.60, 2 Bi 2.88

Entry B
## Hg2BiF (GGA-PBE)

Data for a geometry-optimized Hg2BiF structure.

Cell lengths 3.4404, 3.4404, 9.8684 Å; angles 79.96, 79.96, 60.00 degrees
Closest atoms and distances in Å follow each position.
Atoms (fractional coordinates):
F: 0.5000 0.5000 0.5000  6 Hg 2.68
Hg: 0.8955 0.8955 0.3135  3 F 2.68
Hg: 0.1045 0.1045 0.6865  3 F 2.68
Bi: 0.0000 0.0000 0.0000  2 Hg 3.03

Entry C
## Hg2BiF (GGA-PBE)

Data for a geometry-optimized Hg2BiF structure.

Cell lengths 5.0663, 5.0663, 5.0663 Å; angles 60.00, 60.00, 60.00 degrees
Closest atoms and distances in Å follow each position.
Atoms (fractional coordinates):
Bi: 0.5000 0.5000 0.5000  8 Hg 3.10
Hg: 0.2500 0.2500 0.2500  4 F 3.10, 4 Bi 3.10
F: 0.0000 0.0000 0.0000  8 Hg 3.10
Hg: 0.7500 0.7500 0.7500  4 F 3.10, 4 Bi 3.10

Quick ranking, most stable first: entry B, entry A, entry C.